Record 1
First-principles (PBE) data for OsS3Cl6 after structural relaxation, as listed in Alexandria.

Values from the calculation:
The value obtained for the total magnetic moment is 3.0 μB/f.u. The formation energy from raw total energies is -148 meV per atom.

a b c (Å): 13.1355 13.1355 13.1944
angles (deg): 90.00 90.00 120.00
Last column: nearest neighbours and their distance in Å.
Space group R-3m (No. 166, hexagonal axes)
One atom of each set of equivalent atoms:
Os 0.0000 0.0000 0.0000 [3 per cell]  6 Cl 2.32
Os 0.0000 0.0000 0.5000 [3 per cell]  6 Cl 2.33
S 0.0676 0.5338 0.4603 [18 per cell]  1 S 1.86
Cl 0.0822 0.1644 0.1040 [18 per cell]  1 Os 2.32
Cl 0.0836 0.1671 0.3985 [18 per cell]  1 Os 2.33

---

Record 2
First-principles (PBE) data for Os2SCl8 after structural relaxation, as listed in Alexandria.

Values from the calculation:
The value obtained for the total magnetic moment is 2.0 μB/f.u. The formation energy from raw total energies is -326 meV per atom.

a b c (Å): 8.4807 11.2208 7.3465
angles (deg): 90.00 92.18 90.00
Last column: nearest neighbours and their distance in Å.
Space group C2/m (No. 12)
One atom of each set of equivalent atoms:
Os 0.0933 0.0000 0.2400 [4 per cell]  1 S 2.10, 3 Cl 2.28-2.32
S 0.0000 0.0000 0.5000 [2 per cell]  2 Os 2.10
Cl 0.0966 0.2053 0.2080 [8 per cell]  1 Os 2.32
Cl 0.1428 0.5000 0.6874 [4 per cell]  1 Os 2.28
Cl 0.1681 0.0000 0.9152 [4 per cell]  2 Os 2.45-2.49

---

Record 3
First-principles (PBE) data for SbOsS2Cl after structural relaxation, as listed in Alexandria.

Values from the calculation:
The value obtained for the total magnetic moment is 0.0 μB/f.u. For the excess energy over the best structure of this formula in the dataset, the calculation gives 0 meV per atom. The formation energy from raw total energies is 402 meV per atom.

a b c (Å): 4.6381 4.6381 4.7847
angles (deg): 90.00 90.00 90.00
Last column: nearest neighbours and their distance in Å.
Space group P4/mmm (No. 123)
One atom of each set of equivalent atoms:
Sb 0.0000 0.0000 0.0000 [1 per cell]  4 Cl 3.28, 8 S 3.33
Os 0.5000 0.5000 0.5000 [1 per cell]  4 S 2.32, 2 Cl 2.39
S 0.0000 0.5000 0.5000 [2 per cell]  2 Os 2.32
Cl 0.5000 0.5000 0.0000 [1 per cell]  2 Os 2.39